# NaCa2HgAu4 (PBE, relaxed)
data_NaCa2HgAu4
_cell_length_a 5.0269
_cell_length_b 5.0269
_cell_length_c 24.7765
_cell_angle_alpha 90.00
_cell_angle_beta 90.00
_cell_angle_gamma 120.00
_symmetry_space_group_name_H-M 'R -3 m'
_symmetry_Int_Tables_number 166
_symmetry_space_group_name_Hall '-R 3 2"'
loop_
_atom_site_label
_atom_site_fract_x
_atom_site_fract_y
_atom_site_fract_z
Na1 0.0000 0.0000 0.0000
Ca1 0.0000 0.0000 0.2467
Hg1 0.0000 0.0000 0.5000
Au1 0.0000 0.0000 0.1210
Au2 0.0000 0.0000 0.3729
# Formation energy from the elements, eV per atom: -0.5412

---

# Na2CaHgAu (PBE, relaxed)
data_Na2CaHgAu
_cell_length_a 5.435
_cell_length_b 5.435
_cell_length_c 5.439
_cell_angle_alpha 90.00
_cell_angle_beta 90.00
_cell_angle_gamma 90.00
_symmetry_space_group_name_H-M 'P 4/m m m'
_symmetry_Int_Tables_number 123
_symmetry_space_group_name_Hall '-P 4 2'
loop_
_atom_site_label
_atom_site_fract_x
_atom_site_fract_y
_atom_site_fract_z
Na1 0.000 0.500 0.000
Ca1 0.000 0.000 0.500
Hg1 0.500 0.500 0.500
Au1 0.500 0.500 0.000
# Formation energy from the elements, eV per atom: -0.0613

---

Short version: final energy = -69.2; -8.5 eV/cell, in the order given.